[1]
A geometry-optimized Pm2Pr6NdY3 structure, computed with PBE. Values from VASP.

- Size of the total moment: 0.00 μB per formula unit
- ΔE_f: 0.116 eV/f.u.

Cell and atoms, written as Quantum ESPRESSO input:
```
&SYSTEM
  ibrav = 0, nat = 12, ntyp = 4
/
ATOMIC_SPECIES
Pm 145.00 Pm.upf
Pr 140.91 Pr.upf
Nd 144.24 Nd.upf
Y 88.91 Y.upf
CELL_PARAMETERS angstrom
3.1841 -5.5171 0.0000
3.1841 5.5171 0.0000
-2.1179 0.0000 11.8771
ATOMIC_POSITIONS angstrom
Pm 3.1841 3.6800 0.0000
Pm 3.1841 -3.6800 0.0000
Pr 0.0021 1.8397 8.8782
Pr 1.0622 0.0000 3.0011
Pr 0.0021 -1.8397 8.8782
Pr 4.2481 1.8397 2.9990
Pr 3.1880 0.0000 8.8761
Pr 4.2481 -1.8397 2.9990
Nd 3.1841 0.0000 0.0000
Y -1.0590 0.0000 5.9386
Y 2.1251 1.8393 5.9386
Y 2.1251 -1.8393 5.9386
```



[2]
A geometry-optimized PmPrNdZn structure, computed with PBE. Values from VASP.

- Size of the total moment: 0.00 μB per formula unit
- ΔE_f: -0.611 eV/f.u.
- Energy above the most stable polymorph in this dataset: 0.00 kJ/mol of atoms

Cell and atoms, written as Quantum ESPRESSO input:
```
&SYSTEM
  ibrav = 0, nat = 4, ntyp = 4
/
ATOMIC_SPECIES
Pm 145.00 Pm.upf
Pr 140.91 Pr.upf
Nd 144.24 Nd.upf
Zn 65.41 Zn.upf
CELL_PARAMETERS angstrom
3.6882 0.0000 0.0000
0.0000 3.6882 0.0000
0.0000 0.0000 8.8709
ATOMIC_POSITIONS angstrom
Pm 0.0000 0.0000 0.0000
Pr 1.8441 1.8441 6.2671
Nd 0.0000 0.0000 3.6347
Zn 1.8441 1.8441 1.7894
```



[3]
A geometry-optimized Pm3Pr3NdZn2 structure, computed with PBE. Values from VASP.

- Size of the total moment: 0.00 μB per formula unit
- ΔE_f: -0.075 eV/f.u.

Cell and atoms, written as Quantum ESPRESSO input:
```
&SYSTEM
  ibrav = 0, nat = 9, ntyp = 4
/
ATOMIC_SPECIES
Pm 145.00 Pm.upf
Pr 140.91 Pr.upf
Nd 144.24 Nd.upf
Zn 65.41 Zn.upf
CELL_PARAMETERS angstrom
9.2482 0.0000 0.0000
-4.6241 8.0092 0.0000
0.0000 0.0000 3.7388
ATOMIC_POSITIONS angstrom
Pm -1.7682 3.0627 0.0000
Pm 3.5364 0.0000 0.0000
Pm 2.8559 4.9465 0.0000
Pr -3.1873 5.5205 1.8694
Pr 1.4368 2.4886 1.8694
Pr 6.3746 0.0000 1.8694
Nd 0.0000 0.0000 0.0000
Zn 0.0000 5.3394 1.8694
Zn 4.6241 2.6697 1.8694
```



[4]
A geometry-optimized PmPrNdZn structure, computed with PBE. Values from VASP.

- Size of the total moment: 0.00 μB per formula unit
- ΔE_f: 0.230 eV/f.u.
- Energy above the most stable polymorph in this dataset: 20.28 kJ/mol of atoms

Cell and atoms, written as Quantum ESPRESSO input:
```
&SYSTEM
  ibrav = 0, nat = 4, ntyp = 4
/
ATOMIC_SPECIES
Pm 145.00 Pm.upf
Pr 140.91 Pr.upf
Nd 144.24 Nd.upf
Zn 65.41 Zn.upf
CELL_PARAMETERS angstrom
0.0000 3.8943 3.8943
3.8943 0.0000 3.8943
3.8943 3.8943 0.0000
ATOMIC_POSITIONS angstrom
Pm 0.0000 0.0000 0.0000
Pr 5.8415 5.8415 5.8415
Nd 1.9472 1.9472 1.9472
Zn 3.8943 3.8943 3.8943
```



[5]
A geometry-optimized PmPrNdZr structure, computed with PBE. Values from VASP.

- Size of the total moment: 0.98 μB per formula unit
- ΔE_f: 1.019 eV/f.u.

Cell and atoms, written as Quantum ESPRESSO input:
```
&SYSTEM
  ibrav = 0, nat = 4, ntyp = 4
/
ATOMIC_SPECIES
Pm 145.00 Pm.upf
Pr 140.91 Pr.upf
Nd 144.24 Nd.upf
Zr 91.22 Zr.upf
CELL_PARAMETERS angstrom
0.0000 3.9695 3.9695
3.9695 0.0000 3.9695
3.9695 3.9695 0.0000
ATOMIC_POSITIONS angstrom
Pm 0.0000 0.0000 0.0000
Pr 1.9847 1.9847 1.9847
Nd 3.9695 3.9695 3.9695
Zr 5.9542 5.9542 5.9542
```



[6]
A geometry-optimized Pm2Nd2Pt15 structure, computed with PBE. Values from VASP.

- Size of the total moment: 0.00 μB per formula unit
- ΔE_f: -12.820 eV/f.u.

Cell and atoms, written as Quantum ESPRESSO input:
```
&SYSTEM
  ibrav = 0, nat = 19, ntyp = 3
/
ATOMIC_SPECIES
Pm 145.00 Pm.upf
Nd 144.24 Nd.upf
Pt 195.08 Pt.upf
CELL_PARAMETERS angstrom
4.7171 2.7234 4.6323
-4.7171 2.7234 4.6323
0.0000 -5.4468 4.6323
ATOMIC_POSITIONS angstrom
Pm 0.0000 0.0000 1.9193
Pm 0.0000 0.0000 11.9775
Nd 0.0000 0.0000 5.4689
Nd 0.0000 0.0000 8.4280
Pt -2.3585 -1.3617 4.6323
Pt 0.0000 -2.7970 4.4955
Pt -2.4222 1.3985 4.4955
Pt -1.5003 -2.5987 6.9484
Pt -3.0007 0.0000 6.9484
Pt -2.4222 -1.3985 9.4013
Pt -2.3585 1.3617 9.2646
Pt 1.5003 -2.5987 6.9484
Pt 0.0000 2.7234 4.6323
Pt -1.5003 2.5987 6.9484
Pt 2.4222 1.3985 4.4955
Pt 3.0007 0.0000 6.9484
Pt 1.5003 2.5987 6.9484
Pt 2.4222 -1.3985 9.4013
Pt 0.0000 2.7970 9.4013
```



[7]
A geometry-optimized PmNd5Pt4 structure, computed with PBE. Values from VASP.

- Size of the total moment: 0.00 μB per formula unit
- ΔE_f: -8.544 eV/f.u.

Cell and atoms, written as Quantum ESPRESSO input:
```
&SYSTEM
  ibrav = 0, nat = 10, ntyp = 3
/
ATOMIC_SPECIES
Pm 145.00 Pm.upf
Nd 144.24 Nd.upf
Pt 195.08 Pt.upf
CELL_PARAMETERS angstrom
9.1302 -2.1235 0.0000
9.1302 2.1235 0.0000
-2.3696 0.0000 7.8231
ATOMIC_POSITIONS angstrom
Pm 0.0000 0.0000 0.0000
Nd -1.1848 0.0000 3.9115
Nd 5.7838 0.0000 1.0466
Nd 4.5691 0.0000 5.0786
Nd 11.3217 0.0000 2.7445
Nd 10.1070 0.0000 6.7765
Pt 2.8804 0.0000 0.9205
Pt 7.3405 0.0000 5.8107
Pt 8.5503 0.0000 2.0124
Pt 13.0104 0.0000 6.9026
```



[8]
A geometry-optimized Pm4NdPt5 structure, computed with PBE. Values from VASP.

- Size of the total moment: 0.00 μB per formula unit
- ΔE_f: -10.726 eV/f.u.

Cell and atoms, written as Quantum ESPRESSO input:
```
&SYSTEM
  ibrav = 0, nat = 10, ntyp = 3
/
ATOMIC_SPECIES
Pm 145.00 Pm.upf
Nd 144.24 Nd.upf
Pt 195.08 Pt.upf
CELL_PARAMETERS angstrom
3.5701 0.0000 0.0000
0.0000 3.5701 0.0000
0.0000 0.0000 18.1505
ATOMIC_POSITIONS angstrom
Pm 0.0000 0.0000 1.8097
Pm 0.0000 0.0000 5.4292
Pm 0.0000 0.0000 12.7213
Pm 0.0000 0.0000 16.3408
Nd 0.0000 0.0000 9.0752
Pt 1.7850 1.7850 0.0000
Pt 1.7850 1.7850 3.6154
Pt 1.7850 1.7850 7.2237
Pt 1.7850 1.7850 10.9267
Pt 1.7850 1.7850 14.5351
```



[9]
A geometry-optimized PmNdPt structure, computed with PBE. Values from VASP.

- Size of the total moment: 0.00 μB per formula unit
- ΔE_f: -2.044 eV/f.u.
- Energy above the most stable polymorph in this dataset: 6.90 kJ/mol of atoms

Cell and atoms, written as Quantum ESPRESSO input:
```
&SYSTEM
  ibrav = 0, nat = 6, ntyp = 3
/
ATOMIC_SPECIES
Pm 145.00 Pm.upf
Nd 144.24 Nd.upf
Pt 195.08 Pt.upf
CELL_PARAMETERS angstrom
3.6117 0.0000 0.0000
-1.8055 6.7109 0.0000
-0.0038 -1.9418 7.0471
ATOMIC_POSITIONS angstrom
Pm -0.0014 1.6529 0.4921
Pm 1.8037 3.1161 6.5550
Nd 0.0021 0.6319 3.9673
Nd 1.8003 4.1372 3.0798
Pt -0.0026 6.1897 1.6544
Pt 1.8050 -1.4206 5.3927
```



[10]
A geometry-optimized Pm2Nd5Pt4 structure, computed with PBE. Values from VASP.

- Size of the total moment: 0.00 μB per formula unit
- ΔE_f: -6.847 eV/f.u.

Cell and atoms, written as Quantum ESPRESSO input:
```
&SYSTEM
  ibrav = 0, nat = 11, ntyp = 3
/
ATOMIC_SPECIES
Pm 145.00 Pm.upf
Nd 144.24 Nd.upf
Pt 195.08 Pt.upf
CELL_PARAMETERS angstrom
12.5875 -1.9262 0.0000
12.5875 1.9262 0.0000
-0.3982 0.0000 6.9681
ATOMIC_POSITIONS angstrom
Pm 2.1848 0.0000 1.0945
Pm 22.5919 0.0000 5.8736
Nd 3.0912 0.0000 4.8009
Nd 5.7550 0.0000 1.6142
Nd 12.3884 0.0000 3.4840
Nd 19.0217 0.0000 5.3539
Nd 21.6855 0.0000 2.1671
Pt 0.3119 0.0000 5.6028
Pt 8.3272 0.0000 0.0502
Pt 16.4495 0.0000 6.9179
Pt 24.4648 0.0000 1.3652
```



[11]
A geometry-optimized Pm3Nd5Pt2 structure, computed with PBE. Values from VASP.

- Size of the total moment: 0.00 μB per formula unit
- ΔE_f: -2.953 eV/f.u.

Cell and atoms, written as Quantum ESPRESSO input:
```
&SYSTEM
  ibrav = 0, nat = 20, ntyp = 3
/
ATOMIC_SPECIES
Pm 145.00 Pm.upf
Nd 144.24 Nd.upf
Pt 195.08 Pt.upf
CELL_PARAMETERS angstrom
-6.4581 7.1500 3.5351
6.4581 -7.1500 3.5351
6.4581 7.1500 -3.5351
ATOMIC_POSITIONS angstrom
Pm 3.1170 2.5502 0.0000
Pm 0.0000 0.0000 1.7676
Pm 3.1170 -2.5502 3.5351
Pm 3.3410 9.7002 0.0000
Pm 0.0000 0.0000 5.3027
Pm 3.3410 4.5997 3.5351
Nd 6.4581 -3.3022 1.7676
Nd 9.0872 0.9916 0.0000
Nd 6.4581 0.0000 1.7676
Nd 2.6292 6.1584 0.0000
Nd 6.4581 3.3022 1.7676
Nd 0.0000 3.8478 1.7676
Nd 3.8289 0.9916 3.5351
Nd 0.0000 7.1500 1.7676
Nd -2.6292 6.1584 3.5351
Nd 0.0000 10.4521 1.7676
Pt 5.1555 -5.0764 3.5351
Pt 5.1555 5.0764 0.0000
Pt 1.3026 2.0736 3.5351
Pt 1.3026 12.2263 0.0000
```



[12]
A geometry-optimized Pm2NdPt2 structure, computed with PBE. Values from VASP.

- Size of the total moment: 0.00 μB per formula unit
- ΔE_f: -4.330 eV/f.u.
- Energy above the most stable polymorph in this dataset: 7.08 kJ/mol of atoms

Cell and atoms, written as Quantum ESPRESSO input:
```
&SYSTEM
  ibrav = 0, nat = 10, ntyp = 3
/
ATOMIC_SPECIES
Pm 145.00 Pm.upf
Nd 144.24 Nd.upf
Pt 195.08 Pt.upf
CELL_PARAMETERS angstrom
2.0023 -8.9654 0.0000
2.0023 8.9654 0.0000
0.0000 0.0000 7.6040
ATOMIC_POSITIONS angstrom
Pm 2.0023 8.4155 3.8020
Pm 2.0023 5.5918 1.7097
Pm 2.0023 -5.5918 5.5117
Pm 2.0023 -8.4155 0.0000
Nd 2.0023 2.2662 2.5751
Nd 2.0023 -2.2662 6.3771
Pt 2.0023 5.4454 4.6562
Pt 2.0023 0.9419 5.3719
Pt 2.0023 -0.9419 1.5699
Pt 2.0023 -5.4454 0.8542
```



[13]
A geometry-optimized Pm4Nd3Pt4 structure, computed with PBE. Values from VASP.

- Size of the total moment: 0.00 μB per formula unit
- ΔE_f: -8.746 eV/f.u.

Cell and atoms, written as Quantum ESPRESSO input:
```
&SYSTEM
  ibrav = 0, nat = 11, ntyp = 3
/
ATOMIC_SPECIES
Pm 145.00 Pm.upf
Nd 144.24 Nd.upf
Pt 195.08 Pt.upf
CELL_PARAMETERS angstrom
-2.3573 3.9416 7.9902
2.3573 -3.9416 7.9902
2.3573 3.9416 -7.9902
ATOMIC_POSITIONS angstrom
Pm 2.3573 -2.2459 5.2850
Pm 0.0000 1.6957 2.7052
Pm 2.3573 2.2459 5.2850
Pm 0.0000 6.1875 2.7052
Nd 2.3573 0.0000 0.0000
Nd 0.0000 0.0000 6.4135
Nd 0.0000 0.0000 9.5669
Pt 2.3573 0.0000 3.2847
Pt 0.0000 2.5029 0.0000
Pt 0.0000 5.3803 0.0000
Pt 0.0000 3.9416 4.7055
```



[14]
A geometry-optimized PmNd3Pt2 structure, computed with PBE. Values from VASP.

- Size of the total moment: 0.00 μB per formula unit
- ΔE_f: -4.382 eV/f.u.
- Energy above the most stable polymorph in this dataset: 4.83 kJ/mol of atoms

Cell and atoms, written as Quantum ESPRESSO input:
```
&SYSTEM
  ibrav = 0, nat = 12, ntyp = 3
/
ATOMIC_SPECIES
Pm 145.00 Pm.upf
Nd 144.24 Nd.upf
Pt 195.08 Pt.upf
CELL_PARAMETERS angstrom
8.3475 -2.2557 0.0000
8.3475 2.2557 0.0000
-4.6936 0.0000 9.8081
ATOMIC_POSITIONS angstrom
Pm 0.2875 0.0000 1.7453
Pm 11.7140 0.0000 8.0628
Nd 0.4011 0.0000 5.4080
Nd 0.7452 0.0000 9.0672
Nd 5.9438 0.0000 2.9817
Nd 6.0577 0.0000 6.8264
Nd 11.2563 0.0000 0.7409
Nd 11.6005 0.0000 4.4001
Pt -2.1588 0.0000 8.7260
Pt 3.1915 0.0000 6.2688
Pt 8.8100 0.0000 3.5393
Pt 14.1603 0.0000 1.0821
```



[15]
A geometry-optimized PmNd2Pt structure, computed with PBE. Values from VASP.

- Size of the total moment: 0.00 μB per formula unit
- ΔE_f: -2.382 eV/f.u.
- Energy above the most stable polymorph in this dataset: 3.00 kJ/mol of atoms

Cell and atoms, written as Quantum ESPRESSO input:
```
&SYSTEM
  ibrav = 0, nat = 8, ntyp = 3
/
ATOMIC_SPECIES
Pm 145.00 Pm.upf
Nd 144.24 Nd.upf
Pt 195.08 Pt.upf
CELL_PARAMETERS angstrom
1.9628 -6.0865 0.0000
1.9628 6.0865 0.0000
0.0000 0.0000 10.0262
ATOMIC_POSITIONS angstrom
Pm 1.9628 5.1326 7.5196
Pm 1.9628 -5.1326 2.5065
Nd 1.9628 1.6773 5.6470
Nd 1.9628 1.6773 9.3922
Nd 1.9628 -1.6773 0.6340
Nd 1.9628 -1.6773 4.3791
Pt 1.9628 3.2473 2.5065
Pt 1.9628 -3.2473 7.5196
```



[16]
A geometry-optimized Pm2NdPt3 structure, computed with PBE. Values from VASP.

- Size of the total moment: 0.00 μB per formula unit
- ΔE_f: -6.389 eV/f.u.

Cell and atoms, written as Quantum ESPRESSO input:
```
&SYSTEM
  ibrav = 0, nat = 6, ntyp = 3
/
ATOMIC_SPECIES
Pm 145.00 Pm.upf
Nd 144.24 Nd.upf
Pt 195.08 Pt.upf
CELL_PARAMETERS angstrom
5.0854 0.0000 0.0000
-2.5427 4.4041 0.0000
0.0000 0.0000 6.2227
ATOMIC_POSITIONS angstrom
Pm 0.0000 2.9361 1.0371
Pm 2.5427 1.4680 5.1856
Nd 0.0000 0.0000 3.1114
Pt 0.0000 0.0000 0.0000
Pt 0.0000 2.9361 4.1827
Pt 2.5427 1.4680 2.0400
```



[17]
A geometry-optimized PmNdPt structure, computed with PBE. Values from VASP.

- Size of the total moment: 0.00 μB per formula unit
- ΔE_f: -2.162 eV/f.u.
- Energy above the most stable polymorph in this dataset: 3.09 kJ/mol of atoms

Cell and atoms, written as Quantum ESPRESSO input:
```
&SYSTEM
  ibrav = 0, nat = 3, ntyp = 3
/
ATOMIC_SPECIES
Pm 145.00 Pm.upf
Nd 144.24 Nd.upf
Pt 195.08 Pt.upf
CELL_PARAMETERS angstrom
0.0000 3.5443 3.5443
3.5443 0.0000 3.5443
3.5443 3.5443 0.0000
ATOMIC_POSITIONS angstrom
Pm 0.0000 0.0000 0.0000
Nd 3.5443 3.5443 3.5443
Pt 5.3164 5.3164 5.3164
```



[18]
A geometry-optimized PmNd2Pt structure, computed with PBE. Values from VASP.

- Size of the total moment: 0.00 μB per formula unit
- ΔE_f: -1.925 eV/f.u.
- Energy above the most stable polymorph in this dataset: 14.04 kJ/mol of atoms

Cell and atoms, written as Quantum ESPRESSO input:
```
&SYSTEM
  ibrav = 0, nat = 4, ntyp = 3
/
ATOMIC_SPECIES
Pm 145.00 Pm.upf
Nd 144.24 Nd.upf
Pt 195.08 Pt.upf
CELL_PARAMETERS angstrom
3.6846 0.0000 0.0000
0.0000 3.6846 0.0000
0.0000 0.0000 8.7313
ATOMIC_POSITIONS angstrom
Pm 0.0000 0.0000 0.0000
Nd 1.8423 1.8423 2.6716
Nd 1.8423 1.8423 6.0597
Pt 0.0000 0.0000 4.3656
```



[19]
A geometry-optimized Pm3Nd4Pt4 structure, computed with PBE. Values from VASP.

- Size of the total moment: 0.00 μB per formula unit
- ΔE_f: -8.470 eV/f.u.

Cell and atoms, written as Quantum ESPRESSO input:
```
&SYSTEM
  ibrav = 0, nat = 11, ntyp = 3
/
ATOMIC_SPECIES
Pm 145.00 Pm.upf
Nd 144.24 Nd.upf
Pt 195.08 Pt.upf
CELL_PARAMETERS angstrom
-2.3566 3.9552 8.0238
2.3566 -3.9552 8.0238
2.3566 3.9552 -8.0238
ATOMIC_POSITIONS angstrom
Pm 0.0000 0.0000 0.0000
Pm 2.3566 0.0000 6.4624
Pm 0.0000 3.9552 1.5614
Nd 2.3566 1.7066 -2.7044
Nd 2.3566 1.7066 2.7044
Nd 0.0000 2.2486 5.3195
Nd 0.0000 2.2486 10.7282
Pt 0.0000 0.0000 3.2830
Pt 2.3566 2.5264 0.0000
Pt 0.0000 1.4288 8.0238
Pt 0.0000 0.0000 12.7646
```



[20]
A geometry-optimized PmNdPt structure, computed with PBE. Values from VASP.

- Size of the total moment: 0.00 μB per formula unit
- ΔE_f: -1.830 eV/f.u.
- Energy above the most stable polymorph in this dataset: 13.79 kJ/mol of atoms

Cell and atoms, written as Quantum ESPRESSO input:
```
&SYSTEM
  ibrav = 0, nat = 3, ntyp = 3
/
ATOMIC_SPECIES
Pm 145.00 Pm.upf
Nd 144.24 Nd.upf
Pt 195.08 Pt.upf
CELL_PARAMETERS angstrom
4.7232 0.0000 0.0000
-2.3616 4.0904 0.0000
0.0000 0.0000 4.3053
ATOMIC_POSITIONS angstrom
Pm 0.0000 0.0000 0.0000
Nd 0.0000 2.7269 1.9880
Pt 2.3616 1.3635 3.1927
```